Below is a relaxed structure of Ag2HgO3, with properties calculated at the GGA-PBE level.

Cell lengths 11.0382, 7.6821, 4.4888 Å; angles 90.00, 90.00, 90.00 degrees
Space group Cmcm (No. 63)
Inequivalent atoms, fractional coordinates:
Ag: 0.1741 0.1481 0.2500
Hg: 0.0000 0.3403 0.7500
O: 0.0000 0.3504 0.2500
O: 0.1718 0.1413 0.7500

DFT total energy in eV per atom: -3.446
Total magnetization in Bohr magnetons per cell: 0.0
Density of states at the Fermi level in states/eV per atom: 0.749
Raw formation energy in eV per atom: 0.0337

---

Below is a relaxed structure of AgHgO2, with properties calculated at the GGA-PBE level.

Cell lengths 3.4643, 3.4643, 18.6926 Å; angles 90.00, 90.00, 120.00 degrees
Space group R-3m (No. 166, hexagonal axes)
Inequivalent atoms, fractional coordinates:
Ag: 0.0000 0.0000 0.0000
Hg: 0.0000 0.0000 0.5000
O: 0.0000 0.0000 0.3918

DFT total energy in eV per atom: -3.330
Total magnetization in Bohr magnetons per cell: 1.8
Density of states at the Fermi level in states/eV per atom: 0.738
Raw formation energy in eV per atom: -0.0625

---

Below is a relaxed structure of AgHgO2, with properties calculated at the GGA-PBE level.

Cell lengths 3.3411, 3.3411, 17.5447 Å; angles 90.00, 90.00, 120.00 degrees
Space group R3m (No. 160, hexagonal axes)
Inequivalent atoms, fractional coordinates:
Ag: 0.0000 0.0000 0.0000
Hg: 0.0000 0.0000 0.8313
O: 0.0000 0.0000 0.4111
O: 0.0000 0.0000 0.5891

DFT total energy in eV per atom: -3.225
Total magnetization in Bohr magnetons per cell: 3.2
Density of states at the Fermi level in states/eV per atom: 0.545
Raw formation energy in eV per atom: 0.0427

---

Below is a relaxed structure of Ag4HgO4, with properties calculated at the GGA-PBE level.

Cell lengths 7.5478, 7.5478, 4.5815 Å; angles 90.00, 90.00, 90.00 degrees
Space group I4/m (No. 87)
Inequivalent atoms, fractional coordinates:
Ag: 0.0869 0.2888 0.0000
Hg: 0.0000 0.0000 0.5000
O: 0.1269 0.2997 0.5000

DFT total energy in eV per atom: -3.506
Total magnetization in Bohr magnetons per cell: 0.0
Density of states at the Fermi level in states/eV per atom: 0.659
Raw formation energy in eV per atom: -0.0017

---

Below is a relaxed structure of AgHgO2, with properties calculated at the GGA-PBE level.

Cell lengths 3.2997, 3.4902, 5.8224 Å; angles 90.00, 90.00, 90.00 degrees
Space group Pmmm (No. 47)
Inequivalent atoms, fractional coordinates:
Ag: 0.0000 0.0000 0.0000
Hg: 0.5000 0.5000 0.5000
O: 0.5000 0.0000 0.2375

DFT total energy in eV per atom: -3.374
Total magnetization in Bohr magnetons per cell: 0.0
Density of states at the Fermi level in states/eV per atom: 0.401
Raw formation energy in eV per atom: -0.1063

---

Below is a relaxed structure of Ag8HgO6, with properties calculated at the GGA-PBE level.

Cell lengths 9.5995, 9.5995, 8.8147 Å; angles 90.00, 90.00, 120.00 degrees
Space group R-3 (No. 148, hexagonal axes)
Inequivalent atoms, fractional coordinates:
Ag: 0.0000 0.0000 0.1625
Ag: 0.0314 0.7523 0.6947
Hg: 0.0000 0.0000 0.5000
O: 0.0571 0.5384 0.8111

DFT total energy in eV per atom: -3.505
Total magnetization in Bohr magnetons per cell: 0.0
Density of states at the Fermi level in states/eV per atom: 0.488
Raw formation energy in eV per atom: 0.0188

---

Below is a relaxed structure of Ag2HgO, with properties calculated at the GGA-PBE level.

Cell lengths 5.9022, 5.9022, 11.8690 Å; angles 90.00, 90.00, 90.00 degrees
Space group I-42d (No. 122)
Inequivalent atoms, fractional coordinates:
Ag: 0.0014 0.2500 0.1250
Hg: 0.0000 0.0000 0.5000
O: 0.0000 0.0000 0.0000

DFT total energy in eV per atom: -2.747
Total magnetization in Bohr magnetons per cell: 0.0
Density of states at the Fermi level in states/eV per atom: 0.000
Raw formation energy in eV per atom: -0.0061
E above lowest polymorph in eV/atom: 0.0157

---

Below is a relaxed structure of Ag2HgO2, with properties calculated at the GGA-PBE level.

Cell lengths 4.2994, 4.2994, 11.7803 Å; angles 90.00, 90.00, 90.00 degrees
Space group I4/mmm (No. 139)
Inequivalent atoms, fractional coordinates:
Ag: 0.0000 0.0000 0.2194
Hg: 0.0000 0.0000 0.5000
O: 0.0000 0.5000 0.2500

DFT total energy in eV per atom: -3.099
Total magnetization in Bohr magnetons per cell: 0.0
Density of states at the Fermi level in states/eV per atom: 0.500
Raw formation energy in eV per atom: 0.0855
E above lowest polymorph in eV/atom: 0.2562

---

Below is a relaxed structure of Ag3HgO2, with properties calculated at the GGA-PBE level.

Cell lengths 17.1884, 3.2325, 7.2610 Å; angles 90.00, 92.50, 90.00 degrees
Space group C2/m (No. 12)
Inequivalent atoms, fractional coordinates:
Ag: 0.0693 0.0000 0.2312
Ag: 0.0777 0.5000 0.5585
Ag: 0.2056 0.5000 0.3139
Hg: 0.1404 0.5000 0.9503
O: 0.0565 0.0000 0.7886
O: 0.2062 0.5000 0.6763

DFT total energy in eV per atom: -3.079
Total magnetization in Bohr magnetons per cell: 1.5
Density of states at the Fermi level in states/eV per atom: 0.549
Raw formation energy in eV per atom: 0.0492

---

Below is a relaxed structure of Ag3HgO3, with properties calculated at the GGA-PBE level.

Cell lengths 7.5398, 4.3743, 7.6340 Å; angles 90.00, 116.90, 90.00 degrees
Space group P2_1/m (No. 11)
Inequivalent atoms, fractional coordinates:
Ag: 0.0594 0.2500 0.3971
Ag: 0.2222 0.7500 0.1220
Ag: 0.2829 0.2500 0.8252
Hg: 0.4504 0.7500 0.6342
O: 0.1775 0.7500 0.3837
O: 0.2570 0.2500 0.1418
O: 0.2690 0.7500 0.8643

DFT total energy in eV per atom: -3.425
Total magnetization in Bohr magnetons per cell: 0.0
Density of states at the Fermi level in states/eV per atom: 0.447
Raw formation energy in eV per atom: -0.0353

---

Below is a relaxed structure of Ag3Hg12O5, with properties calculated at the GGA-PBE level.

Cell lengths 15.0703, 15.0703, 15.0703 Å; angles 90.00, 90.00, 90.00 degrees
Space group Ia-3d (No. 230)
Inequivalent atoms, fractional coordinates:
Ag: 0.0000 0.2500 0.1250
Hg: 0.0340 0.0714 0.6486
O: 0.0000 0.0000 0.0000
O: 0.0000 0.2500 0.3750

DFT total energy in eV per atom: -1.859
Total magnetization in Bohr magnetons per cell: 0.0
Density of states at the Fermi level in states/eV per atom: 0.305
Raw formation energy in eV per atom: -0.0103

---

Below is a relaxed structure of Ag2HgO, with properties calculated at the GGA-PBE level.

Cell lengths 5.6509, 5.0069, 9.8004 Å; angles 90.00, 90.00, 90.00 degrees
Space group Pnna (No. 52)
Inequivalent atoms, fractional coordinates:
Ag: 0.0887 0.2183 0.0825
Hg: 0.0024 0.2500 0.7500
O: 0.2500 0.0000 0.5994

DFT total energy in eV per atom: -2.762
Total magnetization in Bohr magnetons per cell: 0.0
Density of states at the Fermi level in states/eV per atom: 0.227
Raw formation energy in eV per atom: -0.0218
E above lowest polymorph in eV/atom: 0.0000